Entry 1:
The following is a PBE calculation of SmErPO after structural relaxation, from OQMD via LeMat-Bulk.

a = 4.240 Å, b = 7.398 Å, c = 5.841 Å
α = 90.00°, β = 90.00°, γ = 90.00°
Fractional positions:
Er (0.000, 0.881, 0.006)
Er (0.000, 0.119, 0.506)
O (0.000, 0.837, 0.378)
O (0.000, 0.163, 0.878)
P (0.500, 0.325, 0.433)
P (0.500, 0.675, 0.933)
Sm (0.500, 0.699, 0.438)
Sm (0.500, 0.301, 0.938)

Computed properties:
offset from the most stable computed form = 0 meV per atom
energy = -6.93 eV per atom



Entry 2:
The following is a PBE calculation of HoMgTlTe3 after structural relaxation, from OQMD via LeMat-Bulk.

a = 8.009 Å, b = 8.009 Å, c = 11.720 Å
α = 90.00°, β = 90.00°, γ = 147.72°
Fractional positions:
Ho (0.000, 0.000, 0.000)
Ho (0.000, 0.000, 0.500)
Mg (0.462, 0.538, 0.250)
Mg (0.538, 0.462, 0.750)
Te (0.365, 0.635, 0.052)
Te (0.074, 0.926, 0.250)
Te (0.365, 0.635, 0.448)
Te (0.635, 0.365, 0.552)
Te (0.926, 0.074, 0.750)
Te (0.635, 0.365, 0.948)
Tl (0.756, 0.244, 0.250)
Tl (0.244, 0.756, 0.750)

Computed properties:
offset from the most stable computed form = 5 meV per atom
energy = -3.94 eV per atom



Entry 3:
The following is a PBE calculation of NdDyGaNi2 after structural relaxation, from OQMD via LeMat-Bulk.

a = 5.390 Å, b = 5.390 Å, c = 5.390 Å
α = 134.04°, β = 120.17°, γ = 78.60°
Fractional positions:
Dy (0.702, 0.202, 0.500)
Ga (0.000, 0.000, 0.000)
Nd (0.297, 0.797, 0.500)
Ni (0.733, 0.500, 0.232)
Ni (0.268, 0.500, 0.768)

Computed properties:
energy = -5.22 eV per atom



Entry 4:
The following is a PBE calculation of Au4BrCl3 after structural relaxation, from OQMD via LeMat-Bulk.

a = 4.348 Å, b = 4.348 Å, c = 12.066 Å
α = 90.00°, β = 90.00°, γ = 90.64°
Fractional positions:
Au (0.747, 0.253, 0.250)
Au (0.253, 0.747, 0.250)
Au (0.250, 0.250, 0.752)
Au (0.750, 0.750, 0.752)
Br (0.000, 0.000, 0.092)
Cl (0.500, 0.500, 0.400)
Cl (0.000, 0.000, 0.604)
Cl (0.500, 0.500, 0.900)

Computed properties:
energy = -2.72 eV per atom



Entry 5:
The following is a PBE calculation of NbCdFeBi after structural relaxation, from OQMD via LeMat-Bulk.

a = 4.769 Å, b = 4.769 Å, c = 4.769 Å
α = 60.00°, β = 60.00°, γ = 60.00°
Fractional positions:
Bi (0.000, 0.000, 0.000)
Cd (0.500, 0.500, 0.500)
Fe (0.750, 0.750, 0.750)
Nb (0.250, 0.250, 0.250)

Computed properties:
offset from the most stable computed form = 0 meV per atom
energy = -5.23 eV per atom



Entry 6:
The following is a PBE calculation of RbCuNiTe2Se after structural relaxation, from OQMD via LeMat-Bulk.

a = 8.068 Å, b = 8.068 Å, c = 10.591 Å
α = 90.00°, β = 90.00°, γ = 152.20°
Fractional positions:
Cu (0.458, 0.542, 0.250)
Cu (0.542, 0.458, 0.750)
Ni (0.000, 0.000, 0.000)
Ni (0.000, 0.000, 0.500)
Rb (0.748, 0.252, 0.250)
Rb (0.252, 0.748, 0.750)
Se (0.050, 0.950, 0.250)
Se (0.950, 0.050, 0.750)
Te (0.392, 0.608, 0.028)
Te (0.392, 0.608, 0.472)
Te (0.608, 0.392, 0.528)
Te (0.608, 0.392, 0.972)

Computed properties:
energy = -3.65 eV per atom